[1]
The following is a PBE calculation of crystalline Sc2BCl2 at its relaxed geometry, from the Alexandria database.

Results
E_form (uncorrected)   -285 meV per atom
Total moment   0.00 μB/cell
D(E_F)   0.3473 states/eV/atom
Distance to the lowest polymorph of the same formula   0.000 eV/atom
Space-group type   I4/mmm

```
data_Sc2BCl2
_chemical_formula_sum 'Sc2 B1 Cl2'
_cell_length_a 4.900
_cell_length_b 4.900
_cell_length_c 5.148
_cell_angle_alpha 61.58
_cell_angle_beta 61.58
_cell_angle_gamma 90.00
_space_group_name_H-M_alt 'P 1'
_space_group_IT_number 1
loop_
_space_group_symop_operation_xyz
'x,y,z'
loop_
_atom_site_label
_atom_site_fract_x
_atom_site_fract_y
_atom_site_fract_z
Cl1 0.681 0.681 0.637
Cl2 0.319 0.319 0.363
Sc1 0.750 0.250 0.500
Sc2 0.250 0.750 0.500
B1 0.000 0.000 0.000
```

---

[2]
The following is a PBE calculation of crystalline Rb2NdGaBr6 at its relaxed geometry, from the Alexandria database.

Results
E_form (uncorrected)   -1590 meV per atom
Total moment   0.00 μB/cell
D(E_F)   0.0000 states/eV/atom
Space-group type   P2_1/c

```
data_Rb2NdGaBr6
_chemical_formula_sum 'Rb4 Nd2 Ga2 Br12'
_cell_length_a 8.029
_cell_length_b 8.448
_cell_length_c 11.526
_cell_angle_alpha 90.00
_cell_angle_beta 89.21
_cell_angle_gamma 90.00
_space_group_name_H-M_alt 'P 1'
_space_group_IT_number 1
loop_
_space_group_symop_operation_xyz
'x,y,z'
loop_
_atom_site_label
_atom_site_fract_x
_atom_site_fract_y
_atom_site_fract_z
Br1 0.896 0.530 0.241
Br2 0.314 0.713 0.446
Br3 0.708 0.309 0.950
Br4 0.604 0.030 0.259
Br5 0.104 0.470 0.759
Br6 0.686 0.287 0.554
Br7 0.396 0.970 0.741
Br8 0.792 0.809 0.550
Br9 0.814 0.787 0.946
Br10 0.208 0.191 0.450
Br11 0.186 0.213 0.054
Br12 0.292 0.691 0.050
Rb1 0.026 0.927 0.252
Rb2 0.974 0.073 0.748
Rb3 0.526 0.573 0.752
Rb4 0.474 0.427 0.248
Nd1 0.500 0.000 0.500
Nd2 0.000 0.500 0.000
Ga1 0.500 0.000 0.000
Ga2 0.000 0.500 0.500
```

---

[3]
The following is a PBE calculation of crystalline Ba3SmAl2O8 at its relaxed geometry, from the Alexandria database.

Results
E_form (uncorrected)   -2814 meV per atom
Total moment   1.08 μB/cell
D(E_F)   0.6976 states/eV/atom
Space-group type   P-3m1

```
data_Ba3SmAl2O8
_chemical_formula_sum 'Ba3 Sm1 Al2 O8'
_cell_length_a 6.004
_cell_length_b 6.004
_cell_length_c 7.632
_cell_angle_alpha 90.00
_cell_angle_beta 90.00
_cell_angle_gamma 120.00
_space_group_name_H-M_alt 'P 1'
_space_group_IT_number 1
loop_
_space_group_symop_operation_xyz
'x,y,z'
loop_
_atom_site_label
_atom_site_fract_x
_atom_site_fract_y
_atom_site_fract_z
O1 0.175 0.825 0.313
O2 0.333 0.667 0.995
O3 0.350 0.175 0.687
O4 0.667 0.333 0.005
O5 0.175 0.350 0.313
O6 0.825 0.175 0.687
O7 0.650 0.825 0.313
O8 0.825 0.650 0.687
Ba1 0.333 0.667 0.668
Ba2 0.667 0.333 0.332
Ba3 0.000 0.000 0.000
Sm1 0.000 0.000 0.500
Al1 0.333 0.667 0.225
Al2 0.667 0.333 0.775
```

---

[4]
The following is a PBE calculation of crystalline CsPrH6Au2 at its relaxed geometry, from the Alexandria database.

Results
Total moment   0.00 μB/cell
Space-group type   C2/c
VASP energy   -3.4945 eV/atom

```
data_CsPrH6Au2
_chemical_formula_sum 'Cs2 Pr2 H12 Au4'
_cell_length_a 7.172
_cell_length_b 7.172
_cell_length_c 7.175
_cell_angle_alpha 75.72
_cell_angle_beta 75.72
_cell_angle_gamma 101.13
_space_group_name_H-M_alt 'P 1'
_space_group_IT_number 1
loop_
_space_group_symop_operation_xyz
'x,y,z'
loop_
_atom_site_label
_atom_site_fract_x
_atom_site_fract_y
_atom_site_fract_z
H1 0.250 0.177 0.484
H2 0.892 0.409 0.320
H3 0.368 0.545 0.450
H4 0.108 0.591 0.680
H5 0.823 0.750 0.016
H6 0.177 0.250 0.984
H7 0.545 0.368 0.950
H8 0.409 0.892 0.820
H9 0.591 0.108 0.180
H10 0.750 0.823 0.516
H11 0.632 0.455 0.550
H12 0.455 0.632 0.050
Pr1 0.574 0.426 0.250
Pr2 0.426 0.574 0.750
Cs1 0.833 0.167 0.750
Cs2 0.167 0.833 0.250
Au1 0.670 0.970 0.352
Au2 0.970 0.670 0.852
Au3 0.030 0.330 0.148
Au4 0.330 0.030 0.648
```

---

Please write out number 2 again, unchanged.
The following is a PBE calculation of crystalline Rb2NdGaBr6 at its relaxed geometry, from the Alexandria database.

Results
E_form (uncorrected)   -1590 meV per atom
Total moment   0.00 μB/cell
D(E_F)   0.0000 states/eV/atom
Space-group type   P2_1/c

```
data_Rb2NdGaBr6
_chemical_formula_sum 'Rb4 Nd2 Ga2 Br12'
_cell_length_a 8.029
_cell_length_b 8.448
_cell_length_c 11.526
_cell_angle_alpha 90.00
_cell_angle_beta 89.21
_cell_angle_gamma 90.00
_space_group_name_H-M_alt 'P 1'
_space_group_IT_number 1
loop_
_space_group_symop_operation_xyz
'x,y,z'
loop_
_atom_site_label
_atom_site_fract_x
_atom_site_fract_y
_atom_site_fract_z
Br1 0.896 0.530 0.241
Br2 0.314 0.713 0.446
Br3 0.708 0.309 0.950
Br4 0.604 0.030 0.259
Br5 0.104 0.470 0.759
Br6 0.686 0.287 0.554
Br7 0.396 0.970 0.741
Br8 0.792 0.809 0.550
Br9 0.814 0.787 0.946
Br10 0.208 0.191 0.450
Br11 0.186 0.213 0.054
Br12 0.292 0.691 0.050
Rb1 0.026 0.927 0.252
Rb2 0.974 0.073 0.748
Rb3 0.526 0.573 0.752
Rb4 0.474 0.427 0.248
Nd1 0.500 0.000 0.500
Nd2 0.000 0.500 0.000
Ga1 0.500 0.000 0.000
Ga2 0.000 0.500 0.500
```

---

Look up the total moment of the first one.
0.00 μB/cell